The following is a DFT calculation (PBE) of a relaxed Tl3Cd3Bi crystal.

a = 7.573 Å, b = 7.573 Å, c = 7.573 Å
α = 74.52°, β = 74.52°, γ = 74.52°
Atoms (fractional coordinates):
Tl (0.178, 0.617, 0.448)
Tl (0.383, 0.552, 0.822)
Tl (0.448, 0.178, 0.617)
Tl (0.552, 0.822, 0.383)
Tl (0.617, 0.448, 0.178)
Tl (0.822, 0.383, 0.552)
Cd (0.023, 0.316, 0.892)
Cd (0.108, 0.977, 0.684)
Cd (0.316, 0.892, 0.023)
Cd (0.684, 0.108, 0.977)
Cd (0.892, 0.023, 0.316)
Cd (0.977, 0.684, 0.108)
Bi (0.230, 0.230, 0.230)
Bi (0.770, 0.770, 0.770)

ρ = 9.8 g cm⁻³
density of states at the Fermi level = 5.72 states/eV/cell
relative energy among the computed polymorphs = 0 meV per atom
formation energy = 0.032 eV per atom
uncorrected energy = -27.01 eV for the cell shown